# 1
Material: CaNi2Bi2
Method: DFT, PBE
State: relaxed

The calculation puts the density at 8.252 g cm⁻³. For the formation energy from the elements, the calculation gives -185 meV/atom. The value obtained for the total energy is -22.25 eV per cell. The value obtained for the spin magnetization is 0.0 μB/cell.

The structure in POSCAR format:
```
CaNi2Bi2
1.0
-1.259 4.269 -0.921
-4.106 -0.831 1.762
-0.849 3.347 5.462
Ni Bi Ca
2 2 1
Cartesian
-3.819 2.117 3.822
-2.395 4.667 2.481
-2.173 2.171 1.821
-4.041 4.614 4.482
0.000 0.000 0.000
```

# 2
Material: CaNiBi
Method: DFT, PBE
State: relaxed

The calculation puts the density at 7.103 g cm⁻³. For the formation energy from the elements, the calculation gives -395 meV/atom. The value obtained for the total energy is -12.85 eV per cell. The value obtained for the spin magnetization is 0.0 μB/cell.

The structure in POSCAR format:
```
CaNiBi
1.0
-0.525 3.595 -1.851
1.556 -1.758 -3.855
-4.413 -0.163 0.936
Ni Ca Bi
1 1 1
Cartesian
-0.087 0.597 -0.308
-0.784 1.171 -3.493
-2.511 -0.095 -0.970
```